(1)
! BaCaY2Tc, relaxed, DFT PBE; values from VASP
&SYSTEM
  ibrav = 0, nat = 5, ntyp = 4
/
ATOMIC_SPECIES
Tc 98.00 Tc.upf
Ca 40.08 Ca.upf
Ba 137.33 Ba.upf
Y 88.91 Y.upf
CELL_PARAMETERS angstrom
-2.498 -1.618 4.536
-1.791 -4.431 -2.567
4.935 -2.958 1.662
ATOMIC_POSITIONS crystal
Tc 0.000 0.000 0.000
Ca 0.000 0.000 0.500
Ba 0.500 0.500 0.500
Y 0.000 0.500 0.000
Y 0.500 0.000 0.000
! * formation energy: 0.16 eV per atom
! * D(E_F): 6.228 states/eV/cell

***

(2)
! BaCa3Te, relaxed, DFT PBE; values from VASP
&SYSTEM
  ibrav = 0, nat = 5, ntyp = 3
/
ATOMIC_SPECIES
Ba 137.33 Ba.upf
Ca 40.08 Ca.upf
Te 127.60 Te.upf
CELL_PARAMETERS angstrom
-2.485 3.185 -4.745
3.066 -3.623 -4.038
-4.823 -3.945 -0.122
ATOMIC_POSITIONS crystal
Ba 0.000 0.000 0.000
Ca 0.500 0.000 0.000
Ca 0.000 0.500 0.000
Ca 0.000 0.000 0.500
Te 0.500 0.500 0.500
! * energy relative to the elements, uncorrected: 0.7850 eV per atom
! * D(E_F): 4.197 states/eV/cell

***

(3)
! BaCa2Te2, relaxed, DFT PBE; values from VASP
&SYSTEM
  ibrav = 0, nat = 10, ntyp = 3
/
ATOMIC_SPECIES
Te 127.60 Te.upf
Ba 137.33 Ba.upf
Ca 40.08 Ca.upf
CELL_PARAMETERS angstrom
8.974 0.000 0.000
0.000 8.974 0.000
0.000 0.000 4.325
ATOMIC_POSITIONS crystal
Te 0.648 0.148 0.000
Te 0.352 0.852 0.000
Te 0.852 0.648 0.000
Te 0.148 0.352 0.000
Ba 0.000 0.000 0.000
Ba 0.500 0.500 0.000
Ca 0.849 0.349 0.500
Ca 0.651 0.849 0.500
Ca 0.349 0.151 0.500
Ca 0.151 0.651 0.500
! * energy relative to the elements, uncorrected: -1.1487 eV per atom
! * D(E_F): 2.998 states/eV/cell

***

(4)
! BaCa2Te, relaxed, DFT PBE; values from VASP
&SYSTEM
  ibrav = 0, nat = 4, ntyp = 3
/
ATOMIC_SPECIES
Ca 40.08 Ca.upf
Te 127.60 Te.upf
Ba 137.33 Ba.upf
CELL_PARAMETERS angstrom
5.133 0.000 0.000
0.000 5.087 0.002
0.000 2.621 6.741
ATOMIC_POSITIONS crystal
Ca 0.000 0.117 0.040
Ca 0.000 0.383 0.460
Te 0.500 0.250 0.250
Ba 0.500 0.750 0.750
! * energy relative to the elements, uncorrected: -0.5863 eV per atom
! * D(E_F): 4.834 states/eV/cell